1.
CaHCl3: optimized geometry, PBE.

Values from the calculation:
excess energy over the best structure of this formula in the dataset	0	kJ/mol of formula units
spin magnetization	0.000	μB/cell
N(E_F)	0.0	states/eV/f.u.

abc: 7.899 7.447 9.856
angles: 90.00 110.75 90.00
Positions (direct):
Cl1 0.832 0.400 0.101
Cl2 0.090 0.968 0.271
Cl3 0.821 0.360 0.452
H1 0.307 0.512 0.090
H2 0.193 0.012 0.410
Ca1 0.367 0.836 0.804
Cl4 0.590 0.532 0.771
Cl5 0.668 0.900 0.399
Ca2 0.867 0.664 0.304
H3 0.693 0.488 0.910
Ca3 0.633 0.164 0.196
H4 0.807 0.988 0.590
Cl6 0.410 0.468 0.229
Ca4 0.133 0.336 0.696
Cl7 0.321 0.140 0.952
Cl8 0.168 0.600 0.899
Cl9 0.910 0.032 0.729
Cl10 0.179 0.640 0.548
Cl11 0.679 0.860 0.048
Cl12 0.332 0.100 0.601

***

2.
LaNiTe2: optimized geometry, PBE.

Values from the calculation:
spin magnetization	1.008	μB/cell
energy relative to the elements, uncorrected	-0.674	eV per atom
N(E_F)	4.0	states/eV/f.u.

abc: 4.375 4.375 6.891
angles: 74.15 74.15 62.37
Each line ends with the local moment (μB).
Positions (direct):
Ni1 0.750 0.750 0.750  0.73
La1 0.250 0.250 0.250  0.03
Te1 0.498 0.498 0.545  0.08
Te2 0.002 0.002 0.955  0.08